1.
GaSnN2 (PBE-GGA, relaxed); energy above the most stable polymorph in this dataset = 0.000 eV per atom; formation energy (no corrections) = 11 kJ/mol of atoms; VASP energy = -5.80 eV per atom
1.0
-0.118 4.765 -1.162
-4.041 -0.753 -2.677
-4.818 2.885 1.965
Sn Ga N
2 2 4
Direct
0.000 0.000 0.000
0.750 0.250 0.500
0.500 0.500 0.000
0.250 0.750 0.500
0.587 0.125 0.250
0.163 0.625 0.250
0.375 0.413 0.750
0.875 0.837 0.750

***

2.
SmErBe (PBE-GGA, relaxed); VASP energy = -4.23 eV per atom; energy of formation = 103 meV/atom
1.0
3.487 0.000 0.000
0.000 3.487 0.000
-1.744 -1.744 6.019
Be Sm Er
1 1 1
Direct
0.673 0.673 0.346
0.028 0.028 0.056
0.299 0.299 0.598

***

3.
LiPa3P2O6 (PBE-GGA, relaxed); formation energy (no corrections) = -231 kJ/mol of atoms; VASP energy = -8.31 eV per atom
1.0
0.158 3.279 3.089
5.519 -3.891 3.847
1.504 5.954 -3.987
Li Pa P O
1 3 2 6
Direct
0.500 0.000 0.000
0.000 0.500 0.000
0.500 0.500 0.500
0.500 0.000 0.500
0.036 0.736 0.472
0.964 0.264 0.528
0.682 0.381 0.156
0.318 0.619 0.844
0.654 0.831 0.661
0.346 0.169 0.339
0.318 0.225 0.844
0.682 0.775 0.156

***

4.
NdPa2Mo (PBE-GGA, relaxed); energy above the most stable polymorph in this dataset = 0.194 eV per atom; VASP energy = -8.22 eV per atom; energy of formation = 424 meV/atom
1.0
-2.797 -1.338 0.906
-0.856 -2.893 -1.155
3.877 -6.307 8.406
Mo Pa Nd
1 2 1
Direct
0.500 0.500 0.500
0.098 0.098 0.705
0.902 0.902 0.295
0.000 0.000 0.000

***

5.
K2InAgH6 (PBE-GGA, relaxed); VASP energy = -2.81 eV per atom
1.0
-2.885 -1.149 4.801
0.411 -5.589 -1.135
2.274 -3.529 3.902
K In Ag H
2 1 1 6
Direct
0.750 0.250 0.500
0.250 0.750 0.500
0.000 0.000 0.000
0.500 0.500 0.000
0.249 0.249 0.501
0.746 0.746 0.000
0.251 0.749 0.000
0.749 0.251 0.000
0.254 0.254 0.000
0.751 0.751 0.499

***

6.
Pb5Se3 (PBE-GGA, relaxed); energy above the most stable polymorph in this dataset = 0.021 eV per atom; formation energy (no corrections) = -17 kJ/mol of atoms; VASP energy = -3.80 eV per atom
1.0
9.298 0.000 0.000
-4.649 8.052 0.000
0.000 0.000 6.321
Pb Se
10 6
Direct
0.333 0.667 0.000
0.667 0.333 0.500
0.667 0.333 0.000
0.333 0.667 0.500
0.223 0.000 0.250
0.777 0.000 0.750
0.000 0.223 0.250
0.777 0.777 0.250
0.223 0.223 0.750
0.000 0.777 0.750
0.623 0.000 0.250
0.377 0.000 0.750
0.000 0.623 0.250
0.377 0.377 0.250
0.623 0.623 0.750
0.000 0.377 0.750

***

7.
Y2P3Pd6 (PBE-GGA, relaxed); VASP energy = -6.37 eV per atom; energy of formation = -887 meV/atom
1.0
4.147 0.000 0.000
0.000 6.315 -3.646
0.000 0.000 7.292
Y P Pd
2 3 6
Direct
0.000 0.667 0.333
0.000 0.333 0.667
0.500 0.368 0.368
0.500 0.632 0.000
0.500 0.000 0.632
0.500 0.688 0.688
0.500 0.000 0.312
0.000 0.216 0.216
0.000 0.784 0.000
0.500 0.312 0.000
0.000 0.000 0.784

***

8.
LiYBi2 (PBE-GGA, relaxed); energy above the most stable polymorph in this dataset = 0.163 eV per atom; VASP energy = -4.49 eV per atom; energy of formation = -456 meV/atom
1.0
-3.664 -3.842 0.971
-5.262 1.116 -0.441
-2.869 -2.083 -4.069
Y Bi Li
1 2 1
Direct
0.500 0.500 0.500
0.250 0.250 0.250
0.750 0.750 0.750
0.000 0.000 0.000